# 1
# Li4CaSn (PBE, optimized geometry)
# Magnetization (μB per cell): 0.00
# Relative energy among the computed polymorphs (eV/atom): 0.0000
# Crystal system: cubic
# ΔH_f (0 K) (meV per atom): -251
data_Li4CaSn
_space_group_name_H-M_alt 'P 1'
_space_group_IT_number 1
_space_group_name_Hall 'P 1'
_cell_length_a 5.579
_cell_length_b 5.579
_cell_length_c 5.579
_cell_angle_alpha 60.00
_cell_angle_beta 60.00
_cell_angle_gamma 60.00
loop_
_atom_site_label
_atom_site_type_symbol
_atom_site_fract_x
_atom_site_fract_y
_atom_site_fract_z
_atom_site_occupancy
Li1 Li 0.376 0.376 0.376 1
Li2 Li 0.376 0.376 0.872 1
Li3 Li 0.376 0.872 0.376 1
Li4 Li 0.872 0.376 0.376 1
Ca1 Ca 0.000 0.000 0.000 1
Sn1 Sn 0.750 0.750 0.750 1

# 2
# Li4CaSn (PBE, optimized geometry)
# Magnetization (μB per cell): 0.00
# Relative energy among the computed polymorphs (eV/atom): 0.0628
# Crystal system: orthorhombic
# ΔH_f (0 K) (meV per atom): -188
data_Li4CaSn
_space_group_name_H-M_alt 'P 1'
_space_group_IT_number 1
_space_group_name_Hall 'P 1'
_cell_length_a 8.074
_cell_length_b 8.074
_cell_length_c 7.428
_cell_angle_alpha 90.00
_cell_angle_beta 90.00
_cell_angle_gamma 145.26
loop_
_atom_site_label
_atom_site_type_symbol
_atom_site_fract_x
_atom_site_fract_y
_atom_site_fract_z
_atom_site_occupancy
Li1 Li 0.000 0.000 0.000 1
Li2 Li 0.000 0.000 0.500 1
Li3 Li 0.252 0.748 0.583 1
Li4 Li 0.252 0.748 0.917 1
Li5 Li 0.418 0.582 0.750 1
Li6 Li 0.582 0.418 0.250 1
Li7 Li 0.748 0.252 0.083 1
Li8 Li 0.748 0.252 0.417 1
Ca1 Ca 0.382 0.618 0.250 1
Ca2 Ca 0.618 0.382 0.750 1
Sn1 Sn 0.167 0.833 0.250 1
Sn2 Sn 0.833 0.167 0.750 1

# 3
# Li6Ca3Sn5 (PBE, optimized geometry)
# Magnetization (μB per cell): 0.00
# Crystal system: orthorhombic
# ΔH_f (0 K) (meV per atom): -467
data_Li6Ca3Sn5
_space_group_name_H-M_alt 'P 1'
_space_group_IT_number 1
_space_group_name_Hall 'P 1'
_cell_length_a 8.795
_cell_length_b 8.795
_cell_length_c 8.795
_cell_angle_alpha 148.80
_cell_angle_beta 110.74
_cell_angle_gamma 77.91
loop_
_atom_site_label
_atom_site_type_symbol
_atom_site_fract_x
_atom_site_fract_y
_atom_site_fract_z
_atom_site_occupancy
Li1 Li 0.071 0.359 0.712 1
Li2 Li 0.168 0.000 0.168 1
Li3 Li 0.353 0.641 0.712 1
Li4 Li 0.647 0.359 0.288 1
Li5 Li 0.832 0.000 0.832 1
Li6 Li 0.929 0.641 0.288 1
Ca1 Ca 0.209 0.209 0.000 1
Ca2 Ca 0.500 0.500 0.000 1
Ca3 Ca 0.791 0.791 0.000 1
Sn1 Sn 0.000 0.500 0.500 1
Sn2 Sn 0.208 0.851 0.357 1
Sn3 Sn 0.493 0.851 0.643 1
Sn4 Sn 0.507 0.149 0.357 1
Sn5 Sn 0.792 0.149 0.643 1

# 4
# Li2CaSn4 (PBE, optimized geometry)
# Magnetization (μB per cell): 0.00
# Crystal system: tetragonal
# ΔH_f (0 K) (meV per atom): -361
data_Li2CaSn4
_space_group_name_H-M_alt 'P 1'
_space_group_IT_number 1
_space_group_name_Hall 'P 1'
_cell_length_a 7.479
_cell_length_b 7.479
_cell_length_c 6.208
_cell_angle_alpha 90.00
_cell_angle_beta 90.00
_cell_angle_gamma 90.00
loop_
_atom_site_label
_atom_site_type_symbol
_atom_site_fract_x
_atom_site_fract_y
_atom_site_fract_z
_atom_site_occupancy
Li1 Li 0.000 0.500 0.250 1
Li2 Li 0.000 0.500 0.750 1
Li3 Li 0.500 0.000 0.250 1
Li4 Li 0.500 0.000 0.750 1
Ca1 Ca 0.000 0.000 0.000 1
Ca2 Ca 0.500 0.500 0.500 1
Sn1 Sn 0.202 0.202 0.500 1
Sn2 Sn 0.202 0.798 0.500 1
Sn3 Sn 0.298 0.298 0.000 1
Sn4 Sn 0.298 0.702 0.000 1
Sn5 Sn 0.702 0.298 0.000 1
Sn6 Sn 0.702 0.702 0.000 1
Sn7 Sn 0.798 0.202 0.500 1
Sn8 Sn 0.798 0.798 0.500 1

# 5
# LiCa3Sn3 (PBE, optimized geometry)
# Magnetization (μB per cell): 0.00
# Crystal system: monoclinic
# ΔH_f (0 K) (meV per atom): -615
data_LiCa3Sn3
_space_group_name_H-M_alt 'P 1'
_space_group_IT_number 1
_space_group_name_Hall 'P 1'
_cell_length_a 6.225
_cell_length_b 6.225
_cell_length_c 15.438
_cell_angle_alpha 107.97
_cell_angle_beta 107.97
_cell_angle_gamma 44.82
loop_
_atom_site_label
_atom_site_type_symbol
_atom_site_fract_x
_atom_site_fract_y
_atom_site_fract_z
_atom_site_occupancy
Li1 Li 0.240 0.240 0.403 1
Li2 Li 0.760 0.760 0.597 1
Ca1 Ca 0.261 0.261 0.773 1
Ca2 Ca 0.403 0.403 0.081 1
Ca3 Ca 0.463 0.463 0.614 1
Ca4 Ca 0.537 0.537 0.386 1
Ca5 Ca 0.597 0.597 0.919 1
Ca6 Ca 0.739 0.739 0.227 1
Sn1 Sn 0.031 0.031 0.237 1
Sn2 Sn 0.117 0.117 0.076 1
Sn3 Sn 0.130 0.130 0.552 1
Sn4 Sn 0.870 0.870 0.448 1
Sn5 Sn 0.883 0.883 0.924 1
Sn6 Sn 0.969 0.969 0.763 1

# 6
# Li2CaSn2 (PBE, optimized geometry)
# Magnetization (μB per cell): 0.00
# Relative energy among the computed polymorphs (eV/atom): 0.0000
# Crystal system: tetragonal
# ΔH_f (0 K) (meV per atom): -446
data_Li2CaSn2
_space_group_name_H-M_alt 'P 1'
_space_group_IT_number 1
_space_group_name_Hall 'P 1'
_cell_length_a 4.339
_cell_length_b 4.339
_cell_length_c 12.946
_cell_angle_alpha 90.00
_cell_angle_beta 90.00
_cell_angle_gamma 90.00
loop_
_atom_site_label
_atom_site_type_symbol
_atom_site_fract_x
_atom_site_fract_y
_atom_site_fract_z
_atom_site_occupancy
Li1 Li 0.000 0.500 0.250 1
Li2 Li 0.000 0.500 0.750 1
Li3 Li 0.500 0.000 0.250 1
Li4 Li 0.500 0.000 0.750 1
Ca1 Ca 0.000 0.000 0.000 1
Ca2 Ca 0.500 0.500 0.500 1
Sn1 Sn 0.000 0.000 0.390 1
Sn2 Sn 0.000 0.000 0.610 1
Sn3 Sn 0.500 0.500 0.110 1
Sn4 Sn 0.500 0.500 0.890 1

# 7
# LiCaSn3 (PBE, optimized geometry)
# Magnetization (μB per cell): 0.00
# Relative energy among the computed polymorphs (eV/atom): 0.0000
# Crystal system: orthorhombic
# ΔH_f (0 K) (meV per atom): -350
data_LiCaSn3
_space_group_name_H-M_alt 'P 1'
_space_group_IT_number 1
_space_group_name_Hall 'P 1'
_cell_length_a 7.248
_cell_length_b 7.248
_cell_length_c 6.203
_cell_angle_alpha 90.00
_cell_angle_beta 90.00
_cell_angle_gamma 127.27
loop_
_atom_site_label
_atom_site_type_symbol
_atom_site_fract_x
_atom_site_fract_y
_atom_site_fract_z
_atom_site_occupancy
Li1 Li 0.000 0.000 0.000 1
Li2 Li 0.000 0.000 0.500 1
Ca1 Ca 0.393 0.607 0.750 1
Ca2 Ca 0.607 0.393 0.250 1
Sn1 Sn 0.121 0.385 0.250 1
Sn2 Sn 0.180 0.820 0.250 1
Sn3 Sn 0.385 0.121 0.750 1
Sn4 Sn 0.615 0.879 0.250 1
Sn5 Sn 0.820 0.180 0.750 1
Sn6 Sn 0.879 0.615 0.750 1

# 8
# LiCa2Sn (PBE, optimized geometry)
# Magnetization (μB per cell): 0.00
# Crystal system: tetragonal
# ΔH_f (0 K) (meV per atom): 16
data_LiCa2Sn
_space_group_name_H-M_alt 'P 1'
_space_group_IT_number 1
_space_group_name_Hall 'P 1'
_cell_length_a 4.871
_cell_length_b 4.871
_cell_length_c 21.719
_cell_angle_alpha 90.00
_cell_angle_beta 90.00
_cell_angle_gamma 90.00
loop_
_atom_site_label
_atom_site_type_symbol
_atom_site_fract_x
_atom_site_fract_y
_atom_site_fract_z
_atom_site_occupancy
Li1 Li 0.000 0.000 0.000 1
Li2 Li 0.000 0.500 0.250 1
Li3 Li 0.500 0.000 0.750 1
Li4 Li 0.500 0.500 0.500 1
Ca1 Ca 0.239 0.250 0.625 1
Ca2 Ca 0.250 0.739 0.875 1
Ca3 Ca 0.250 0.761 0.375 1
Ca4 Ca 0.261 0.250 0.125 1
Ca5 Ca 0.739 0.750 0.125 1
Ca6 Ca 0.750 0.239 0.375 1
Ca7 Ca 0.750 0.261 0.875 1
Ca8 Ca 0.761 0.750 0.625 1
Sn1 Sn 0.000 0.000 0.500 1
Sn2 Sn 0.000 0.500 0.750 1
Sn3 Sn 0.500 0.000 0.250 1
Sn4 Sn 0.500 0.500 0.000 1

# 9
# Li4Ca5Sn4 (PBE, optimized geometry)
# Magnetization (μB per cell): 0.00
# Crystal system: tetragonal
# ΔH_f (0 K) (meV per atom): -509
data_Li4Ca5Sn4
_space_group_name_H-M_alt 'P 1'
_space_group_IT_number 1
_space_group_name_Hall 'P 1'
_cell_length_a 9.414
_cell_length_b 9.414
_cell_length_c 9.414
_cell_angle_alpha 92.81
_cell_angle_beta 92.81
_cell_angle_gamma 154.41
loop_
_atom_site_label
_atom_site_type_symbol
_atom_site_fract_x
_atom_site_fract_y
_atom_site_fract_z
_atom_site_occupancy
Li1 Li 0.082 0.598 0.680 1
Li2 Li 0.402 0.082 0.485 1
Li3 Li 0.598 0.918 0.515 1
Li4 Li 0.918 0.402 0.320 1
Ca1 Ca 0.131 0.213 0.344 1
Ca2 Ca 0.213 0.869 0.082 1
Ca3 Ca 0.500 0.500 0.000 1
Ca4 Ca 0.787 0.131 0.918 1
Ca5 Ca 0.869 0.787 0.656 1
Sn1 Sn 0.248 0.441 0.689 1
Sn2 Sn 0.441 0.752 0.193 1
Sn3 Sn 0.559 0.248 0.807 1
Sn4 Sn 0.752 0.559 0.311 1

# 10
# LiCa2Sn3 (PBE, optimized geometry)
# Magnetization (μB per cell): 0.00
# Relative energy among the computed polymorphs (eV/atom): 0.0513
# Crystal system: orthorhombic
# ΔH_f (0 K) (meV per atom): -443
data_LiCa2Sn3
_space_group_name_H-M_alt 'P 1'
_space_group_IT_number 1
_space_group_name_Hall 'P 1'
_cell_length_a 4.305
_cell_length_b 4.788
_cell_length_c 8.118
_cell_angle_alpha 90.00
_cell_angle_beta 90.00
_cell_angle_gamma 90.00
loop_
_atom_site_label
_atom_site_type_symbol
_atom_site_fract_x
_atom_site_fract_y
_atom_site_fract_z
_atom_site_occupancy
Li1 Li 0.000 0.000 0.000 1
Ca1 Ca 0.500 0.000 0.671 1
Ca2 Ca 0.500 0.500 0.191 1
Sn1 Sn 0.000 0.000 0.323 1
Sn2 Sn 0.000 0.500 0.521 1
Sn3 Sn 0.000 0.500 0.868 1